Record 1
## NaAlP3 (PBE)

Data for NaAlP3 after structural relaxation.

Cell: 4.812 4.812 4.812 Å, 90.00 90.00 90.00°
Fractional positions:
Na (0.000, 0.000, 0.000)
Al (0.500, 0.500, 0.500)
P (0.000, 0.000, 0.500)
P (0.000, 0.500, 0.000)
P (0.500, 0.000, 0.000)

Results
**Space-group type**: Pm-3m (221)
**Total energy**: -2.8434 eV per atom
**Polymorph energy (0 for the lowest one)**: 1.028 eV/atom
**DOS(E_F)**: 4.991 states/eV/cell

***

Record 2
## TiIn3C (PBE)

Data for TiIn3C after structural relaxation.

Cell: 4.715 4.715 4.715 Å, 90.00 90.00 90.00°
Fractional positions:
Ti (0.000, 0.000, 0.000)
In (0.000, 0.500, 0.500)
In (0.500, 0.000, 0.500)
In (0.500, 0.500, 0.000)
C (0.500, 0.500, 0.500)

Results
**Space-group type**: Pm-3m (221)
**Total energy**: -4.0654 eV per atom
**Polymorph energy (0 for the lowest one)**: 0.000 eV/atom
**DOS(E_F)**: 5.286 states/eV/cell

***

Record 3
## Sc2CoN (PBE)

Data for Sc2CoN after structural relaxation.

Cell: 7.443 7.443 7.443 Å, 28.02 28.02 28.02°
Fractional positions:
Sc (0.088, 0.088, 0.088)
Sc (0.912, 0.912, 0.912)
Co (0.500, 0.500, 0.500)
N (0.000, 0.000, 0.000)

Results
**E_form (uncorrected)**: 191 meV/atom
**Space-group type**: R-3m (166)
**Total energy**: -6.8325 eV per atom
**DOS(E_F)**: 3.706 states/eV/cell

***

Record 4
## Mg6Zn3Ga (PBE)

Data for Mg6Zn3Ga after structural relaxation.

Cell: 8.130 4.749 10.520 Å, 90.00 109.43 90.00°
Fractional positions:
Mg (0.038, 0.250, 0.428)
Mg (0.166, 0.750, 0.166)
Mg (0.232, 0.250, 0.000)
Mg (0.332, 0.750, 0.790)
Mg (0.355, 0.250, 0.331)
Mg (0.405, 0.250, 0.627)
Mg (0.595, 0.750, 0.373)
Mg (0.645, 0.750, 0.669)
Mg (0.668, 0.250, 0.210)
Mg (0.768, 0.750, 0.000)
Mg (0.834, 0.250, 0.834)
Mg (0.962, 0.750, 0.572)
Zn (0.026, 0.750, 0.858)
Zn (0.095, 0.250, 0.716)
Zn (0.272, 0.750, 0.468)
Zn (0.728, 0.250, 0.532)
Zn (0.905, 0.750, 0.284)
Zn (0.974, 0.250, 0.142)
Ga (0.465, 0.750, 0.084)
Ga (0.535, 0.250, 0.916)

Results
**Space-group type**: P2_1/m (11)
**Total energy**: -1.7157 eV per atom
**DOS(E_F)**: 5.319 states/eV/cell

***

Record 5
## In2SbRh (PBE)

Data for In2SbRh after structural relaxation.

Cell: 3.171 3.171 8.713 Å, 90.00 90.00 90.00°
Fractional positions:
In (0.000, 0.000, 0.196)
In (0.000, 0.000, 0.804)
Sb (0.500, 0.500, 0.500)
Rh (0.500, 0.500, 0.000)

Results
**E_form (uncorrected)**: -91 meV/atom
**Space-group type**: P4/mmm (123)
**Total energy**: -4.3285 eV per atom
**DOS(E_F)**: 2.215 states/eV/cell

***

Record 6
## TcIr2Ru (PBE)

Data for TcIr2Ru after structural relaxation.

Cell: 2.717 3.885 5.429 Å, 90.00 90.00 90.00°
Fractional positions:
Tc (0.000, 0.000, 0.000)
Ir (0.500, 0.500, 0.251)
Ir (0.500, 0.500, 0.749)
Ru (0.000, 0.000, 0.500)

Results
**Space-group type**: Pmmm (47)
**Total energy**: -9.4503 eV per atom
**Polymorph energy (0 for the lowest one)**: 0.058 eV/atom
**DOS(E_F)**: 3.136 states/eV/cell

***

Record 7
## HfTi3Cr (PBE)

Data for HfTi3Cr after structural relaxation.

Cell: 4.733 4.733 4.733 Å, 90.00 90.00 90.00°
Fractional positions:
Hf (0.000, 0.000, 0.000)
Ti (0.000, 0.000, 0.500)
Ti (0.000, 0.500, 0.000)
Ti (0.500, 0.000, 0.000)
Cr (0.500, 0.500, 0.500)

Results
**Space-group type**: Pm-3m (221)
**Total energy**: -6.9473 eV per atom
**Polymorph energy (0 for the lowest one)**: 1.259 eV/atom
**DOS(E_F)**: 6.991 states/eV/cell

***

Record 8
## Sm4TeSe3 (PBE)

Data for Sm4TeSe3 after structural relaxation.

Cell: 4.195 4.195 28.359 Å, 90.00 90.00 120.00°
Fractional positions:
Sm (0.000, 0.000, 0.177)
Sm (0.000, 0.000, 0.323)
Sm (0.000, 0.000, 0.677)
Sm (0.000, 0.000, 0.823)
Sm (0.333, 0.667, 0.063)
Sm (0.333, 0.667, 0.437)
Sm (0.667, 0.333, 0.563)
Sm (0.667, 0.333, 0.937)
Te (0.333, 0.667, 0.250)
Te (0.667, 0.333, 0.750)
Se (0.000, 0.000, 0.000)
Se (0.000, 0.000, 0.500)
Se (0.333, 0.667, 0.620)
Se (0.333, 0.667, 0.880)
Se (0.667, 0.333, 0.120)
Se (0.667, 0.333, 0.380)

Results
**E_form (uncorrected)**: -1727 meV/atom
**Space-group type**: P6_3/mmc (194)
**Total energy**: -5.7864 eV per atom
**Polymorph energy (0 for the lowest one)**: 0.000 eV/atom
**DOS(E_F)**: 6.188 states/eV/cell

***

Short version: V = 22.29; 20.97; 20.10; 19.15; 21.90; 14.32; 21.20; 27.02 A^3/atom, in the order given.